Entry 1:
The following is a DFT calculation (GGA-PBE) of crystalline Ba3Te2H at its relaxed geometry.

Cell: 7.192 15.218 16.569 Å, 90.00 94.36 90.00°
Space group C2/c (No. 15)
Asymmetric unit:
Ba (0.000, 0.010, 0.250) x4
Ba (0.000, 0.391, 0.250) x4
Ba (0.201, 0.316, 0.869) x8
Ba (0.239, 0.101, 0.533) x8
Te (0.210, 0.201, 0.346) x8
Te (0.248, 0.099, 0.929) x8
H (0.212, 0.495, 0.837) x8

Results
Excess energy over the best structure of this formula in the dataset ... 0.000 eV/atom
Density of states at the Fermi level ... 25.5 states/eV per cell
Crystal system ... monoclinic

***

Entry 2:
The following is a DFT calculation (GGA-PBE) of crystalline BaTe3H at its relaxed geometry.

Cell: 5.118 5.118 5.118 Å, 90.00 90.00 90.00°
Space group Pm-3m (No. 221)
Asymmetric unit:
Ba (0.000, 0.000, 0.000) x1
Te (0.000, 0.500, 0.500) x3
H (0.500, 0.500, 0.500) x1

Results
Excess energy over the best structure of this formula in the dataset ... 0.000 eV/atom
Density of states at the Fermi level ... 3.8 states/eV per cell
Crystal system ... cubic

***

Entry 3:
The following is a DFT calculation (GGA-PBE) of crystalline BaTeH6 at its relaxed geometry.

Cell: 4.713 4.717 5.899 Å, 74.46 74.53 89.65°
Space group P-1 (No. 2)
Asymmetric unit:
Ba (0.000, 0.000, 0.000) x1
Te (0.500, 0.500, 0.500) x1
H (0.061, 0.062, 0.481) x2
H (0.224, 0.580, 0.791) x2
H (0.420, 0.779, 0.211) x2

Results
Density of states at the Fermi level ... 0.0 states/eV per cell
Crystal system ... triclinic

***

Entry 4:
The following is a DFT calculation (GGA-PBE) of crystalline BaYTe2H at its relaxed geometry.

Cell: 6.003 6.003 4.387 Å, 90.00 90.00 90.00°
Space group P4/mmm (No. 123)
Asymmetric unit:
Ba (0.000, 0.000, 0.000) x1
Y (0.500, 0.500, 0.500) x1
Te (0.000, 0.500, 0.500) x2
H (0.500, 0.500, 0.000) x1

Results
Crystal system ... tetragonal

***

Entry 5:
The following is a DFT calculation (GGA-PBE) of crystalline BaZnTeH2 at its relaxed geometry.

Cell: 4.440 4.440 7.120 Å, 90.00 90.00 90.00°
Space group P4/mmm (No. 123)
Asymmetric unit:
Ba (0.000, 0.000, 0.000) x1
Zn (0.000, 0.000, 0.500) x1
Te (0.500, 0.500, 0.500) x1
H (0.000, 0.500, 0.000) x2

Results
Density of states at the Fermi level ... 1.8 states/eV per cell
Crystal system ... tetragonal

***

Entry 6:
The following is a DFT calculation (GGA-PBE) of crystalline BaTh2H at its relaxed geometry.

Cell: 3.5922 3.5922 30.7552 Å, 90.00 90.00 120.00°
Space group R-3m (No. 166, hexagonal axes)
Asymmetric unit:
Ba (0.0000, 0.0000, 0.0000) x3
Th (0.0000, 0.0000, 0.1172) x6
H (0.0000, 0.0000, 0.5000) x3

Results
Density of states at the Fermi level ... 21.3 states/eV per cell
Crystal system ... trigonal

***

Entry 7:
The following is a DFT calculation (GGA-PBE) of crystalline BaTi2H at its relaxed geometry.

Cell: 8.875 8.875 8.875 Å, 90.00 90.00 90.00°
Space group Fd-3m (No. 227, origin choice 2)
Asymmetric unit:
Ba (0.125, 0.125, 0.125) x8
Ti (0.000, 0.000, 0.500) x16
H (0.125, 0.125, 0.625) x8

Results
Excess energy over the best structure of this formula in the dataset ... 0.000 eV/atom
Density of states at the Fermi level ... 56.9 states/eV per cell
Crystal system ... cubic

***

Entry 8:
The following is a DFT calculation (GGA-PBE) of crystalline BaTi3H at its relaxed geometry.

Cell: 4.440 4.440 4.440 Å, 90.00 90.00 90.00°
Space group Pm-3m (No. 221)
Asymmetric unit:
Ba (0.000, 0.000, 0.000) x1
Ti (0.000, 0.500, 0.500) x3
H (0.500, 0.500, 0.500) x1

Results
Excess energy over the best structure of this formula in the dataset ... 0.000 eV/atom
Density of states at the Fermi level ... 6.1 states/eV per cell
Crystal system ... cubic

***

Entry 9:
The following is a DFT calculation (GGA-PBE) of crystalline Ba2TiH at its relaxed geometry.

Cell: 8.153 8.153 8.153 Å, 90.00 90.00 90.00°
Space group Fm-3m (No. 225)
Asymmetric unit:
Ba (0.250, 0.250, 0.250) x8
Ti (0.000, 0.000, 0.000) x4
H (0.000, 0.000, 0.500) x4

Results
Excess energy over the best structure of this formula in the dataset ... 0.234 eV/atom
Density of states at the Fermi level ... 18.4 states/eV per cell
Crystal system ... cubic

***

Entry 10:
The following is a DFT calculation (GGA-PBE) of crystalline Ba3TiH at its relaxed geometry.

Cell: 5.675 5.675 5.675 Å, 90.00 90.00 90.00°
Space group Pm-3m (No. 221)
Asymmetric unit:
Ba (0.000, 0.000, 0.500) x3
Ti (0.500, 0.500, 0.500) x1
H (0.000, 0.000, 0.000) x1

Results
Excess energy over the best structure of this formula in the dataset ... 0.000 eV/atom
Density of states at the Fermi level ... 8.0 states/eV per cell
Crystal system ... cubic

***

Entry 11:
The following is a DFT calculation (GGA-PBE) of crystalline Ba2TiH at its relaxed geometry.

Cell: 7.948 7.948 8.177 Å, 90.00 90.00 90.00°
Space group I-42d (No. 122)
Asymmetric unit:
Ba (0.147, 0.250, 0.125) x8
Ti (0.000, 0.000, 0.500) x4
H (0.000, 0.000, 0.000) x4

Results
Excess energy over the best structure of this formula in the dataset ... 0.000 eV/atom
Density of states at the Fermi level ... 28.0 states/eV per cell
Crystal system ... tetragonal

***

Entry 12:
The following is a DFT calculation (GGA-PBE) of crystalline BaTiH3 at its relaxed geometry.

Cell: 4.792 4.792 4.792 Å, 90.00 90.00 90.00°
Space group Pm-3m (No. 221)
Asymmetric unit:
Ba (0.000, 0.000, 0.000) x1
Ti (0.500, 0.500, 0.500) x1
H (0.000, 0.000, 0.500) x3

Results
Excess energy over the best structure of this formula in the dataset ... 1.041 eV/atom
Density of states at the Fermi level ... 2.7 states/eV per cell
Crystal system ... cubic

***

Entry 13:
The following is a DFT calculation (GGA-PBE) of crystalline BaTi3H at its relaxed geometry.

Cell: 5.046 5.046 5.046 Å, 90.00 90.00 90.00°
Space group Pm-3m (No. 221)
Asymmetric unit:
Ba (0.000, 0.000, 0.000) x1
Ti (0.000, 0.000, 0.500) x3
H (0.500, 0.500, 0.500) x1

Results
Excess energy over the best structure of this formula in the dataset ... 1.901 eV/atom
Density of states at the Fermi level ... 6.7 states/eV per cell
Crystal system ... cubic

***

Entry 14:
The following is a DFT calculation (GGA-PBE) of crystalline BaTiH3 at its relaxed geometry.

Cell: 4.096 4.096 4.096 Å, 90.00 90.00 90.00°
Space group Pm-3m (No. 221)
Asymmetric unit:
Ba (0.000, 0.000, 0.000) x1
Ti (0.500, 0.500, 0.500) x1
H (0.000, 0.500, 0.500) x3

Results
Excess energy over the best structure of this formula in the dataset ... 0.000 eV/atom
Density of states at the Fermi level ... 1.4 states/eV per cell
Crystal system ... cubic

***

Entry 15:
The following is a DFT calculation (GGA-PBE) of crystalline Ba4TiH2 at its relaxed geometry.

Cell: 6.243 6.243 14.717 Å, 90.00 90.00 90.00°
Space group I4/mmm (No. 139)
Asymmetric unit:
Ba (0.000, 0.000, 0.245) x4
Ba (0.000, 0.500, 0.000) x4
Ti (0.000, 0.000, 0.500) x2
H (0.000, 0.000, 0.078) x4

Results
Density of states at the Fermi level ... 12.1 states/eV per cell
Crystal system ... tetragonal

***

Entry 16:
The following is a DFT calculation (GGA-PBE) of crystalline BaTiH at its relaxed geometry.

Cell: 11.964 3.482 6.021 Å, 90.00 90.00 90.00°
Space group Amm2 (No. 38)
Asymmetric unit:
Ba (0.159, 0.000, 0.000) x4
Ti (0.405, 0.000, 0.663) x4
H (0.000, 0.000, 0.667) x2
H (0.500, 0.000, 0.995) x2

Results
Density of states at the Fermi level ... 12.5 states/eV per cell
Crystal system ... orthorhombic

***

Entry 17:
The following is a DFT calculation (GGA-PBE) of crystalline BaTi2H at its relaxed geometry.

Cell: 6.760 6.760 6.760 Å, 90.00 90.00 90.00°
Space group Fm-3m (No. 225)
Asymmetric unit:
Ba (0.000, 0.000, 0.000) x4
Ti (0.250, 0.250, 0.250) x8
H (0.000, 0.000, 0.500) x4

Results
Excess energy over the best structure of this formula in the dataset ... 1.137 eV/atom
Density of states at the Fermi level ... 24.9 states/eV per cell
Crystal system ... cubic

***

Entry 18:
The following is a DFT calculation (GGA-PBE) of crystalline Ba8Tl3H2 at its relaxed geometry.

Cell: 8.0120 8.0120 29.8075 Å, 90.00 90.00 120.00°
Space group R-3m (No. 166, hexagonal axes)
Asymmetric unit:
Ba (0.0000, 0.0000, 0.1853) x6
Ba (0.0077, 0.5039, 0.2703) x18
Tl (0.0000, 0.0000, 0.2988) x6
Tl (0.0000, 0.0000, 0.5000) x3
H (0.0000, 0.0000, 0.0980) x6

Results
Density of states at the Fermi level ... 44.0 states/eV per cell
Crystal system ... trigonal

***

Entry 19:
The following is a DFT calculation (GGA-PBE) of crystalline Ba4TlH at its relaxed geometry.

Cell: 10.300 9.434 11.519 Å, 90.00 90.00 90.00°
Space group Cmcm (No. 63)
Asymmetric unit:
Ba (0.000, 0.220, 0.042) x8
Ba (0.193, 0.457, 0.750) x8
Tl (0.000, 0.113, 0.750) x4
H (0.000, 0.360, 0.250) x4

Results
Excess energy over the best structure of this formula in the dataset ... 0.036 eV/atom
Density of states at the Fermi level ... 17.2 states/eV per cell
Crystal system ... orthorhombic

***

Entry 20:
The following is a DFT calculation (GGA-PBE) of crystalline Ba7Tl3H2 at its relaxed geometry.

Cell: 5.698 27.558 5.539 Å, 90.00 90.00 90.00°
Space group Cmmm (No. 65)
Asymmetric unit:
Ba (0.000, 0.000, 0.000) x2
Ba (0.000, 0.105, 0.500) x4
Ba (0.000, 0.210, 0.000) x4
Ba (0.000, 0.400, 0.000) x4
Tl (0.000, 0.302, 0.500) x4
Tl (0.000, 0.500, 0.500) x2
H (0.000, 0.103, 0.000) x4

Results
Density of states at the Fermi level ... 15.0 states/eV per cell
Crystal system ... orthorhombic

***

Number 1: final energy -3.80 eV per atom, calculated volume 37.7 A^3/atom. Number 2: final energy -3.17 eV per atom, calculated volume 26.8 A^3/atom. Number 3: final energy -3.16 eV per atom, calculated volume 15.2 A^3/atom. Number 4: final energy -4.85 eV per atom, calculated volume 31.6 A^3/atom. Number 5: final energy -2.41 eV per atom, calculated volume 28.1 A^3/atom. Number 6: final energy -4.86 eV per atom, calculated volume 28.6 A^3/atom. Number 7: final energy -4.96 eV per atom, calculated volume 21.8 A^3/atom. Number 8: final energy -5.23 eV per atom, calculated volume 17.5 A^3/atom. Number 9: final energy -2.99 eV per atom, calculated volume 33.9 A^3/atom. Number 10: final energy -3.11 eV per atom, calculated volume 36.6 A^3/atom. Number 11: final energy -3.22 eV per atom, calculated volume 32.3 A^3/atom. Number 12: final energy -3.19 eV per atom, calculated volume 22.0 A^3/atom. Number 13: final energy -3.33 eV per atom, calculated volume 25.7 A^3/atom. Number 14: final energy -4.23 eV per atom, calculated volume 13.7 A^3/atom. Number 15: final energy -2.79 eV per atom, calculated volume 41.0 A^3/atom. Number 16: final energy -3.96 eV per atom, calculated volume 20.9 A^3/atom. Number 17: final energy -3.82 eV per atom, calculated volume 19.3 A^3/atom. Number 18: final energy -2.49 eV per atom, calculated volume 42.5 A^3/atom. Number 19: final energy -2.45 eV per atom, calculated volume 46.6 A^3/atom. Number 20: final energy -2.54 eV per atom, calculated volume 36.2 A^3/atom.